Material: VNiO2
Method: DFT, GGA+U
State: relaxed

```
VNiO2
1.0
3.0459 0.0013 0.0022
1.5246 7.3241 0.2911
1.5233 2.5303 4.3917
O V Ni
4 2 2
Cartesian
5.1826 9.3959 4.3687 O
3.6612 4.7680 3.3921 O
3.6593 4.4293 0.6956 O
2.1369 2.4066 1.8691 O
3.6587 3.3342 2.4278 V
2.1363 5.6486 0.3642 V
2.1380 6.1202 3.0844 Ni
3.6624 7.8223 1.7442 Ni
```

Calculated values
SG ... Cm, No. 8
Total moment ... 2.10 μB per formula unit
Relative energy among the computed polymorphs ... 291 meV per atom